A relaxed structure of KAgSeN2. Source: Alexandria via LeMat-Bulk, functional PBEsol.

Cell and atoms, written as POSCAR:
```
KAgSeN2
1.0
4.320 0.000 0.000
0.000 4.320 0.000
0.000 0.000 5.245
K Ag Se N
1 1 1 2
Direct
0.000 0.000 0.000
0.500 0.500 0.500
0.500 0.500 0.000
0.000 0.500 0.500
0.500 0.000 0.500
```

## Properties
E, eV per atom: -3.75
Calculated density, Mg/m³: 4.307
Total magnetization, μB per formula unit: 4.11
Uncorrected formation energy, eV/atom: 1.32